Here is a relaxed CsNi4F8 crystal from the Alexandria database. Energies are from PBE+U.

The calculation puts the uncorrected energy at -4.05 eV/atom. The space-group type is No. 166. Its spin magnetization is 0.54 μB/atom.

abc: 6.2334 6.2334 7.7689
angles: 66.35 66.35 60.00
Atoms (fractional coordinates):
Cs 0.5000 0.5000 0.5000
Ni 0.5000 0.0000 0.0000
Ni 0.5000 0.5000 0.0000
Ni 0.0000 0.5000 0.0000
Ni 0.0000 0.0000 0.0000
F 0.7872 0.2715 0.1542
F 0.7285 0.2128 0.8458
F 0.2128 0.7285 0.8458
F 0.2128 0.2128 0.8458
F 0.2852 0.2852 0.1444
F 0.7148 0.7148 0.8556
F 0.7872 0.7872 0.1542
F 0.2715 0.7872 0.1542